Computed, not measured: a relaxed structure of Pr4Zn3Cu at the PBE-GGA level of DFT.

Lattice parameters (Å, degrees): 3.708 4.542 12.114 90.00 90.00 90.00
Space group Pmm2 (No. 25)
Asymmetric unit:
Pr (0.000, 0.000, 0.000) [1 per cell]
Pr (0.000, 0.500, 0.294) [1 per cell]
Pr (0.500, 0.000, 0.493) [1 per cell]
Pr (0.500, 0.500, 0.801) [1 per cell]
Zn (0.000, 0.000, 0.709) [1 per cell]
Zn (0.000, 0.500, 0.583) [1 per cell]
Zn (0.500, 0.500, 0.086) [1 per cell]
Cu (0.500, 0.000, 0.208) [1 per cell]

Values from the calculation:
Crystal system: orthorhombic
Formation enthalpy at 0 K in eV/atom: -0.23


Computed, not measured: a relaxed structure of Pr3Zn3Cu8 at the PBE-GGA level of DFT.

Lattice parameters (Å, degrees): 4.307 8.968 12.711 90.00 90.00 90.00
Space group Immm (No. 71)
Asymmetric unit:
Pr (0.000, 0.000, 0.000) [2 per cell]
Pr (0.000, 0.000, 0.299) [4 per cell]
Zn (0.000, 0.208, 0.500) [4 per cell]
Zn (0.000, 0.500, 0.000) [2 per cell]
Cu (0.000, 0.282, 0.128) [8 per cell]
Cu (0.000, 0.356, 0.332) [8 per cell]

Values from the calculation:
Crystal system: orthorhombic
Formation enthalpy at 0 K in eV/atom: -0.20